Entry from the Alexandria database: TaReSe after structural relaxation (PBE-GGA).

```
TaReSe
1.0
7.1899 0.0064 -0.0046
6.3764 2.8244 0.0139
0.8135 -0.8681 2.6810
Re Se Ta
1 1 1
Cartesian
1.0457 -0.8008 2.6324
4.8879 0.3136 1.8274
9.2596 1.5816 0.9115
```

Properties
- energy (eV/atom) = -8.905
- raw formation energy (eV per atom) = 0.3571
- density of states at the Fermi level (states/eV/f.u.) = 2.41
- offset from the most stable computed form (eV/atom) = 0.280
- SG = Fmm2, No. 42